one) The following is a PBE-GGA calculation of crystalline CuHg2Ir at its relaxed geometry, from the Alexandria database.

The structure belongs to space group Pm (No. 6); the cell edges are 3.160, 4.362 and 5.381 Å and the angles 90.00°, 104.63° and 90.00°. The asymmetric unit holds Cu at (0.000, 0.000, 0.000), Hg at (0.307, 0.000, 0.554), Hg at (0.581, 0.500, 0.179) and Ir at (0.882, 0.500, 0.719).


two) The following is a PBE-GGA calculation of crystalline CuHg2Ir at its relaxed geometry, from the Alexandria database.

The structure belongs to space group Cmmm (No. 65); the cell edges are 3.006, 5.077 and 9.241 Å and the angles 90.00°, 90.00° and 90.00°. The asymmetric unit holds Cu at (0.000, 0.000, 0.000), Hg at (0.000, 0.500, 0.242) and Ir at (0.000, 0.000, 0.500).


Each structure's energy above the most stable one, in meV per atom: one) 0; two) 80.


one) The following is a PBE-GGA calculation of crystalline CuHg2Ir at its relaxed geometry, from the Alexandria database.

The structure belongs to space group P4/mmm (No. 123); the cell edges are 4.196, 4.196 and 3.895 Å and the angles 90.00°, 90.00° and 90.00°. The asymmetric unit holds Cu at (0.000, 0.000, 0.000), Hg at (0.000, 0.500, 0.500) and Ir at (0.500, 0.500, 0.000).


two) The following is a PBE-GGA calculation of crystalline CuHg2Ir at its relaxed geometry, from the Alexandria database.

The structure belongs to space group I4/mmm (No. 139); the cell edges are 4.258, 4.258 and 7.646 Å and the angles 90.00°, 90.00° and 90.00°. The asymmetric unit holds Cu at (0.000, 0.000, 0.000), Hg at (0.000, 0.500, 0.250) and Ir at (0.000, 0.000, 0.500).


three) The following is a PBE-GGA calculation of crystalline CuHg2Ir at its relaxed geometry, from the Alexandria database.

The structure belongs to space group F-43m (No. 216); the cell edges are 6.532, 6.532 and 6.532 Å and the angles 90.00°, 90.00° and 90.00°. The asymmetric unit holds Cu at (0.000, 0.000, 0.000), Hg at (0.000, 0.000, 0.500), Hg at (0.250, 0.250, 0.750) and Ir at (0.250, 0.250, 0.250).


Each structure's energy above the most stable one, in meV per atom: one) 0; two) 58; three) 165.


one) The following is a PBE-GGA calculation of crystalline CuHg2Ir at its relaxed geometry, from the Alexandria database.

The structure belongs to space group R-3m (No. 166, hexagonal axes); the cell edges are 2.9815, 2.9815 and 27.1283 Å and the angles 90.00°, 90.00° and 120.00°. The asymmetric unit holds Cu at (0.0000, 0.0000, 0.0000), Hg at (0.0000, 0.0000, 0.2523) and Ir at (0.0000, 0.0000, 0.5000).


two) The following is a PBE-GGA calculation of crystalline CuHg2Ir at its relaxed geometry, from the Alexandria database.

The structure belongs to space group Cm (No. 8); the cell edges are 10.302, 3.024 and 4.777 Å and the angles 90.00°, 108.79° and 90.00°. The asymmetric unit holds Cu at (0.000, 0.000, 0.000), Hg at (0.240, 0.000, 0.839), Hg at (0.455, 0.000, 0.470) and Ir at (0.202, 0.500, 0.318).


Each structure's energy above the most stable one, in meV per atom: one) 63; two) 0.


one) The following is a PBE-GGA calculation of crystalline CuHg2Ir at its relaxed geometry, from the Alexandria database.

The structure belongs to space group Fm-3m (No. 225); the cell edges are 6.525, 6.525 and 6.525 Å and the angles 90.00°, 90.00° and 90.00°. The asymmetric unit holds Cu at (0.000, 0.000, 0.000), Hg at (0.250, 0.250, 0.250) and Ir at (0.000, 0.000, 0.500).


two) The following is a PBE-GGA calculation of crystalline CuHg2Ir at its relaxed geometry, from the Alexandria database.

The structure belongs to space group P4mm (No. 99); the cell edges are 3.017, 3.017 and 7.850 Å and the angles 90.00°, 90.00° and 90.00°. The asymmetric unit holds Cu at (0.000, 0.000, 0.000), Hg at (0.000, 0.000, 0.563), Hg at (0.500, 0.500, 0.237) and Ir at (0.500, 0.500, 0.813).


three) The following is a PBE-GGA calculation of crystalline CuHg2Ir at its relaxed geometry, from the Alexandria database.

The structure belongs to space group Imm2 (No. 44); the cell edges are 3.074, 4.670 and 9.788 Å and the angles 90.00°, 90.00° and 90.00°. The asymmetric unit holds Cu at (0.000, 0.000, 0.000), Hg at (0.000, 0.000, 0.533), Hg at (0.000, 0.500, 0.756) and Ir at (0.000, 0.500, 0.286).


Each structure's energy above the most stable one, in meV per atom: one) 53; two) 0; three) 25.


one) The following is a PBE-GGA calculation of crystalline CuHg2Ir at its relaxed geometry, from the Alexandria database.

The structure belongs to space group P4/mmm (No. 123); the cell edges are 3.109, 3.109 and 7.083 Å and the angles 90.00°, 90.00° and 90.00°. The asymmetric unit holds Cu at (0.000, 0.000, 0.000), Hg at (0.500, 0.500, 0.241) and Ir at (0.000, 0.000, 0.500).


two) The following is a PBE-GGA calculation of crystalline CuHg2Ir at its relaxed geometry, from the Alexandria database.

The structure belongs to space group C2/m (No. 12); the cell edges are 9.045, 3.078 and 5.169 Å and the angles 90.00°, 102.13° and 90.00°. The asymmetric unit holds Cu at (0.000, 0.000, 0.000), Hg at (0.248, 0.500, 0.246) and Ir at (0.000, 0.500, 0.500).


Each structure's energy above the most stable one, in meV per atom: one) 0; two) 36.


one) The following is a PBE-GGA calculation of crystalline KCuHg at its relaxed geometry, from the Alexandria database.

The structure belongs to space group P-6m2 (No. 187); the cell edges are 4.6075, 4.6075 and 4.8710 Å and the angles 90.00°, 90.00° and 120.00°. The asymmetric unit holds K at (0.0000, 0.0000, 0.0000), Cu at (0.6667, 0.3333, 0.5000) and Hg at (0.3333, 0.6667, 0.5000).


two) The following is a PBE-GGA calculation of crystalline KCuHg at its relaxed geometry, from the Alexandria database.

The structure belongs to space group F-43m (No. 216); the cell edges are 7.820, 7.820 and 7.820 Å and the angles 90.00°, 90.00° and 90.00°. The asymmetric unit holds K at (0.000, 0.000, 0.000), Cu at (0.250, 0.250, 0.250) and Hg at (0.250, 0.250, 0.750).


three) The following is a PBE-GGA calculation of crystalline KCuHg at its relaxed geometry, from the Alexandria database.

The structure belongs to space group F-43m (No. 216); the cell edges are 7.149, 7.149 and 7.149 Å and the angles 90.00°, 90.00° and 90.00°. The asymmetric unit holds K at (0.000, 0.000, 0.000), Cu at (0.250, 0.250, 0.750) and Hg at (0.000, 0.000, 0.500).


four) The following is a PBE-GGA calculation of crystalline KCuHg at its relaxed geometry, from the Alexandria database.

The structure belongs to space group I4mm (No. 107); the cell edges are 3.713, 3.713 and 11.988 Å and the angles 90.00°, 90.00° and 90.00°. The asymmetric unit holds K at (0.000, 0.000, 0.000), Cu at (0.000, 0.000, 0.271) and Hg at (0.000, 0.000, 0.722).


Each structure's energy above the most stable one, in meV per atom: one) 0; two) 369; three) 150; four) 46.


one) The following is a PBE-GGA calculation of crystalline K2CuHg2 at its relaxed geometry, from the Alexandria database.

The structure belongs to space group I4/mmm (No. 139); the cell edges are 6.804, 6.804 and 7.963 Å and the angles 90.00°, 90.00° and 90.00°. The asymmetric unit holds K at (0.000, 0.500, 0.250), Cu at (0.000, 0.000, 0.000) and Hg at (0.000, 0.000, 0.322).


two) The following is a PBE-GGA calculation of crystalline K2CuHg2 at its relaxed geometry, from the Alexandria database.

The structure belongs to space group P4/mbm (No. 127); the cell edges are 7.374, 7.374 and 5.693 Å and the angles 90.00°, 90.00° and 90.00°. The asymmetric unit holds K at (0.175, 0.325, 0.000), Cu at (0.000, 0.000, 0.500) and Hg at (0.152, 0.652, 0.500).


Each structure's energy above the most stable one, in meV per atom: one) 56; two) 0.


one) The following is a PBE-GGA calculation of crystalline KCuHg3 at its relaxed geometry, from the Alexandria database.

The structure belongs to space group Pm-3m (No. 221); the cell edges are 5.245, 5.245 and 5.245 Å and the angles 90.00°, 90.00° and 90.00°. The asymmetric unit holds K at (0.000, 0.000, 0.000), Cu at (0.500, 0.500, 0.500) and Hg at (0.000, 0.500, 0.500).


two) The following is a PBE-GGA calculation of crystalline KCuHg3 at its relaxed geometry, from the Alexandria database.

The structure belongs to space group Pm-3m (No. 221); the cell edges are 6.482, 6.482 and 6.482 Å and the angles 90.00°, 90.00° and 90.00°. The asymmetric unit holds K at (0.000, 0.000, 0.000), Cu at (0.500, 0.500, 0.500) and Hg at (0.000, 0.000, 0.500).


Each structure's energy above the most stable one, in meV per atom: one) 0; two) 677.


one) The following is a PBE-GGA calculation of crystalline KTl2CuHg at its relaxed geometry, from the Alexandria database.

The structure belongs to space group P4/mmm (No. 123); the cell edges are 5.160, 5.160 and 6.361 Å and the angles 90.00°, 90.00° and 90.00°. The asymmetric unit holds K at (0.000, 0.000, 0.000), Tl at (0.000, 0.500, 0.500), Cu at (0.000, 0.000, 0.500) and Hg at (0.500, 0.500, 0.000).


two) The following is a PBE-GGA calculation of crystalline KTl2CuHg at its relaxed geometry, from the Alexandria database.

The structure belongs to space group P4/mmm (No. 123); the cell edges are 5.353, 5.353 and 5.298 Å and the angles 90.00°, 90.00° and 90.00°. The asymmetric unit holds K at (0.000, 0.000, 0.000), Tl at (0.000, 0.500, 0.500), Cu at (0.500, 0.500, 0.500) and Hg at (0.500, 0.500, 0.000).


Each structure's energy above the most stable one, in meV per atom: one) 80; two) 0.


one) The following is a PBE-GGA calculation of crystalline LaCu2Hg2 at its relaxed geometry, from the Alexandria database.

The structure belongs to space group P4/mbm (No. 127); the cell edges are 8.140, 8.140 and 3.193 Å and the angles 90.00°, 90.00° and 90.00°. The asymmetric unit holds La at (0.000, 0.000, 0.000), Cu at (0.173, 0.327, 0.500) and Hg at (0.127, 0.627, 0.000).


two) The following is a PBE-GGA calculation of crystalline LaCu2Hg2 at its relaxed geometry, from the Alexandria database.

The structure belongs to space group I4/mmm (No. 139); the cell edges are 4.839, 4.839 and 9.526 Å and the angles 90.00°, 90.00° and 90.00°. The asymmetric unit holds La at (0.000, 0.000, 0.000), Cu at (0.000, 0.500, 0.250) and Hg at (0.000, 0.000, 0.354).


three) The following is a PBE-GGA calculation of crystalline LaCu2Hg2 at its relaxed geometry, from the Alexandria database.

The structure belongs to space group P4/mbm (No. 127); the cell edges are 7.577, 7.577 and 3.757 Å and the angles 90.00°, 90.00° and 90.00°. The asymmetric unit holds La at (0.000, 0.000, 0.000), Cu at (0.114, 0.386, 0.000) and Hg at (0.176, 0.676, 0.500).


four) The following is a PBE-GGA calculation of crystalline LaCu2Hg2 at its relaxed geometry, from the Alexandria database.

The structure belongs to space group I4/mmm (No. 139); the cell edges are 4.333, 4.333 and 11.551 Å and the angles 90.00°, 90.00° and 90.00°. The asymmetric unit holds La at (0.000, 0.000, 0.000), Cu at (0.000, 0.000, 0.398) and Hg at (0.000, 0.500, 0.250).


Each structure's energy above the most stable one, in meV per atom: one) 246; two) 55; three) 153; four) 0.


one) The following is a PBE-GGA calculation of crystalline LaCuHg3 at its relaxed geometry, from the Alexandria database.

The structure belongs to space group Pm-3m (No. 221); the cell edges are 5.040, 5.040 and 5.040 Å and the angles 90.00°, 90.00° and 90.00°. The asymmetric unit holds La at (0.000, 0.000, 0.000), Cu at (0.500, 0.500, 0.500) and Hg at (0.000, 0.500, 0.500).


two) The following is a PBE-GGA calculation of crystalline LaCuHg3 at its relaxed geometry, from the Alexandria database.

The structure belongs to space group Pm-3m (No. 221); the cell edges are 6.155, 6.155 and 6.155 Å and the angles 90.00°, 90.00° and 90.00°. The asymmetric unit holds La at (0.000, 0.000, 0.000), Cu at (0.500, 0.500, 0.500) and Hg at (0.000, 0.000, 0.500).


Each structure's energy above the most stable one, in meV per atom: one) 0; two) 886.